Material: HfGaTc
Method: DFT, PBE-GGA
State: optimized geometry

- VASP energy (eV/atom) = -8.16
- M_tot (μB/cell) = 0.00

```
HfGaTc
1.0
4.356 0.000 0.000
0.000 3.462 0.000
0.000 0.000 13.487
Hf Ga Tc
4 4 4
direct
0.500 0.000 0.639 Hf
0.500 0.500 0.139 Hf
0.500 0.000 0.333 Hf
0.500 0.500 0.833 Hf
0.000 0.000 0.484 Ga
0.000 0.500 0.984 Ga
0.000 0.000 0.181 Ga
0.000 0.500 0.681 Ga
0.000 0.000 0.830 Tc
0.000 0.500 0.330 Tc
0.500 0.000 0.993 Tc
0.500 0.500 0.493 Tc
```